P) # LiCoGeO4

An optimized crystal structure of LiCoGeO4 (PBE with a Hubbard U, the Alexandria database).

## Properties
Its size of the total moment is 8.15 μB/cell. The crystal system is monoclinic.

abc: 5.142 5.726 8.079
angles: 90.00 129.54 90.00
Space group Pc (No. 7)
Asymmetric unit:
Li 0.000 0.162 0.000
Co 0.754 0.330 0.254
Ge 0.247 0.348 0.751
O 0.078 0.178 0.516
O 0.367 0.369 0.229
O 0.606 0.213 0.989
O 0.925 0.372 0.773


Q) # LiCoGeO4

An optimized crystal structure of LiCoGeO4 (PBE with a Hubbard U, the Alexandria database).

## Properties
Its size of the total moment is 8.03 μB/cell. The crystal system is monoclinic.

abc: 5.172 5.393 8.446
angles: 90.00 127.57 90.00
Space group Pc (No. 7)
Asymmetric unit:
Li 0.000 0.166 0.000
Co 0.501 0.169 0.503
Ge 0.746 0.321 0.249
O 0.102 0.180 0.462
O 0.421 0.260 0.263
O 0.654 0.157 0.037
O 0.790 0.357 0.735


Most stable of them? Q).